## A
First-principles (GGA-PBE) data for an optimized crystal structure of Nd4Hg2O, as listed in Alexandria via LeMat-Bulk.

Summary:
ρ (g/cm3): 8.673
Magnetization (μB per formula unit): 0.0

Cell lengths 4.947, 4.947, 8.528 Å; angles 73.14, 73.14, 90.00 degrees
Positions (direct):
Nd 0.823 0.823 0.354
Nd 0.177 0.177 0.646
Nd 0.000 0.500 0.000
Nd 0.500 0.000 0.000
Hg 0.630 0.630 0.740
Hg 0.370 0.370 0.260
O 0.000 0.000 0.000

## B
First-principles (GGA-PBE) data for an optimized crystal structure of Nd4Hg2O, as listed in Alexandria via LeMat-Bulk.

Summary:
ρ (g/cm3): 7.724
Magnetization (μB per formula unit): 0.0

Cell lengths 3.568, 4.859, 12.564 Å; angles 101.15, 90.00, 90.00 degrees
Positions (direct):
Nd 0.500 0.567 0.133
Nd 0.000 0.697 0.393
Nd 0.500 0.433 0.867
Nd 0.000 0.303 0.607
Hg 0.500 0.154 0.308
Hg 0.500 0.846 0.692
O 0.000 0.500 0.000

Of them, A has the highest stability.

## A
First-principles (GGA-PBE) data for an optimized crystal structure of Nd6Hg2Os, as listed in Alexandria via LeMat-Bulk.

Summary:
ρ (g/cm3): 8.323
Magnetization (μB per formula unit): 0.0

Cell lengths 7.174, 7.652, 10.589 Å; angles 90.00, 90.14, 90.00 degrees
Positions (direct):
Nd 0.885 0.988 0.248
Nd 0.811 0.689 0.554
Nd 0.819 0.691 0.947
Nd 0.681 0.191 0.553
Nd 0.689 0.189 0.946
Nd 0.615 0.488 0.252
Nd 0.115 0.012 0.752
Nd 0.189 0.311 0.446
Nd 0.181 0.309 0.053
Nd 0.319 0.809 0.447
Nd 0.311 0.811 0.054
Nd 0.385 0.512 0.748
Hg 0.960 0.404 0.752
Hg 0.540 0.904 0.748
Hg 0.460 0.096 0.252
Hg 0.040 0.596 0.248
Os 0.500 0.500 0.000
Os 0.000 0.000 0.500

## B
First-principles (GGA-PBE) data for an optimized crystal structure of Nd6Hg2Os, as listed in Alexandria via LeMat-Bulk.

Summary:
ρ (g/cm3): 9.071
Magnetization (μB per formula unit): 0.0

Cell lengths 8.855, 8.855, 8.855 Å; angles 72.66, 71.09, 112.20 degrees
Positions (direct):
Nd 0.165 0.756 0.079
Nd 0.835 0.244 0.921
Nd 0.165 0.244 0.591
Nd 0.835 0.756 0.409
Nd 0.452 0.271 0.819
Nd 0.548 0.729 0.181
Nd 0.089 0.271 0.181
Nd 0.911 0.729 0.819
Nd 0.335 0.067 0.267
Nd 0.665 0.933 0.733
Nd 0.335 0.602 0.733
Nd 0.665 0.398 0.267
Hg 0.144 0.644 0.500
Hg 0.856 0.356 0.500
Hg 0.354 0.000 0.646
Hg 0.646 0.000 0.354
Os 0.500 0.500 0.000
Os 0.000 0.000 0.000

Of them, A has the highest stability.

## A
First-principles (GGA-PBE) data for an optimized crystal structure of Nd2HgPb3, as listed in Alexandria via LeMat-Bulk.

Summary:
ρ (g/cm3): 10.562
Magnetization (μB per formula unit): 0.0

Cell lengths 4.638, 4.787, 8.200 Å; angles 90.00, 106.43, 90.00 degrees
Positions (direct):
Nd 0.149 0.500 0.298
Nd 0.851 0.500 0.702
Hg 0.000 0.000 0.000
Pb 0.325 0.000 0.650
Pb 0.675 0.000 0.350
Pb 0.500 0.500 0.000

## B
First-principles (GGA-PBE) data for an optimized crystal structure of Nd2HgPb3, as listed in Alexandria via LeMat-Bulk.

Summary:
ρ (g/cm3): 9.685
Magnetization (μB per formula unit): 0.0

Cell lengths 3.518, 5.885, 9.817 Å; angles 107.44, 100.32, 90.00 degrees
Positions (direct):
Nd 0.656 0.656 0.312
Nd 0.344 0.344 0.688
Hg 0.000 0.000 0.000
Pb 0.000 0.500 0.000
Pb 0.833 0.833 0.667
Pb 0.167 0.167 0.333

Of them, A has the highest stability.

## A
First-principles (GGA-PBE) data for an optimized crystal structure of NdHg3Pb, as listed in Alexandria via LeMat-Bulk.

Summary:
ρ (g/cm3): 11.640
Magnetization (μB per formula unit): 0.0

Cell lengths 4.902, 8.763, 6.657 Å; angles 97.56, 90.00, 106.24 degrees
Positions (direct):
Nd 0.876 0.751 0.974
Nd 0.124 0.249 0.026
Hg 0.101 0.202 0.510
Hg 0.899 0.798 0.490
Hg 0.312 0.625 0.234
Hg 0.688 0.375 0.766
Hg 0.291 0.581 0.707
Hg 0.709 0.419 0.293
Pb 0.504 0.008 0.239
Pb 0.496 0.992 0.761

## B
First-principles (GGA-PBE) data for an optimized crystal structure of NdHg3Pb, as listed in Alexandria via LeMat-Bulk.

Summary:
ρ (g/cm3): 11.664
Magnetization (μB per formula unit): 0.0

Cell lengths 7.394, 8.367, 8.775 Å; angles 90.00, 90.00, 90.00 degrees
Positions (direct):
Nd 0.750 0.368 0.681
Nd 0.250 0.132 0.181
Nd 0.250 0.632 0.319
Nd 0.750 0.868 0.819
Hg 0.948 0.849 0.165
Hg 0.448 0.651 0.665
Hg 0.052 0.651 0.665
Hg 0.448 0.151 0.835
Hg 0.052 0.151 0.835
Hg 0.552 0.349 0.335
Hg 0.948 0.349 0.335
Hg 0.552 0.849 0.165
Hg 0.750 0.164 0.076
Hg 0.250 0.336 0.576
Hg 0.250 0.836 0.924
Hg 0.750 0.664 0.424
Pb 0.000 0.000 0.500
Pb 0.500 0.500 0.000
Pb 0.000 0.500 0.000
Pb 0.500 0.000 0.500

Of them, A has the highest stability.

## A
First-principles (GGA-PBE) data for an optimized crystal structure of SrNdHgPb, as listed in Alexandria via LeMat-Bulk.

Summary:
ρ (g/cm3): 8.455
Magnetization (μB per formula unit): 0.0

Cell lengths 3.938, 3.938, 8.101 Å; angles 90.00, 90.00, 90.00 degrees
Positions (direct):
Sr 0.000 0.000 0.847
Nd 0.000 0.000 0.369
Hg 0.500 0.500 0.591
Pb 0.500 0.500 0.121

## B
First-principles (GGA-PBE) data for an optimized crystal structure of SrNdHgPb, as listed in Alexandria via LeMat-Bulk.

Summary:
ρ (g/cm3): 8.459
Magnetization (μB per formula unit): 0.0

Cell lengths 5.621, 5.621, 5.621 Å; angles 60.00, 60.00, 60.00 degrees
Positions (direct):
Pb 0.500 0.500 0.500
Sr 0.250 0.250 0.250
Nd 0.750 0.750 0.750
Hg 0.000 0.000 0.000

Of them, A has the highest stability.

## A
First-principles (GGA-PBE) data for an optimized crystal structure of NdTlHgPb, as listed in Alexandria via LeMat-Bulk.

Summary:
ρ (g/cm3): 10.894
Magnetization (μB per formula unit): 0.0

Cell lengths 5.463, 5.463, 5.463 Å; angles 60.00, 60.00, 60.00 degrees
Positions (direct):
Pb 0.500 0.500 0.500
Tl 0.750 0.750 0.750
Nd 0.000 0.000 0.000
Hg 0.250 0.250 0.250

## B
First-principles (GGA-PBE) data for an optimized crystal structure of NdTlHgPb, as listed in Alexandria via LeMat-Bulk.

Summary:
ρ (g/cm3): 11.335
Magnetization (μB per formula unit): 0.0

Cell lengths 4.717, 4.920, 4.775 Å; angles 90.00, 90.00, 90.00 degrees
Positions (direct):
Nd 0.500 0.500 0.000
Tl 0.000 0.000 0.000
Hg 0.500 0.000 0.500
Pb 0.000 0.500 0.500

Of them, B has the highest stability.

## A
First-principles (GGA-PBE) data for an optimized crystal structure of Nd2HgPd, as listed in Alexandria via LeMat-Bulk.

Summary:
ρ (g/cm3): 9.516
Magnetization (μB per formula unit): 0.0

Cell lengths 3.702, 3.702, 7.582 Å; angles 90.00, 90.00, 90.00 degrees
Positions (direct):
Nd 0.000 0.000 0.770
Nd 0.000 0.000 0.230
Hg 0.500 0.500 0.500
Pd 0.500 0.500 0.000

## B
First-principles (GGA-PBE) data for an optimized crystal structure of Nd2HgPd, as listed in Alexandria via LeMat-Bulk.

Summary:
ρ (g/cm3): 9.502
Magnetization (μB per formula unit): 0.0

Cell lengths 5.280, 5.280, 5.280 Å; angles 60.00, 60.00, 60.00 degrees
Positions (direct):
Nd 0.250 0.250 0.250
Nd 0.750 0.750 0.750
Hg 0.000 0.000 0.000
Pd 0.500 0.500 0.500

Of them, A has the highest stability.

## A
First-principles (GGA-PBE) data for an optimized crystal structure of Nd2HgPd, as listed in Alexandria via LeMat-Bulk.

Summary:
ρ (g/cm3): 8.487
Magnetization (μB per formula unit): 0.0

Cell lengths 4.096, 4.096, 8.361 Å; angles 75.82, 75.82, 60.00 degrees
Positions (direct):
Nd 0.261 0.261 0.217
Nd 0.739 0.739 0.783
Hg 0.500 0.500 0.500
Pd 0.000 0.000 0.000

## B
First-principles (GGA-PBE) data for an optimized crystal structure of Nd2HgPd, as listed in Alexandria via LeMat-Bulk.

Summary:
ρ (g/cm3): 8.386
Magnetization (μB per formula unit): 0.0

Cell lengths 4.208, 4.208, 8.065 Å; angles 74.88, 74.88, 60.00 degrees
Positions (direct):
Nd 0.071 0.071 0.786
Nd 0.262 0.262 0.213
Hg 0.500 0.500 0.499
Pd 0.666 0.666 0.003

Of them, A has the highest stability.

## A
First-principles (GGA-PBE) data for an optimized crystal structure of Nd8HgPd2, as listed in Alexandria via LeMat-Bulk.

Summary:
ρ (g/cm3): 7.833
Magnetization (μB per formula unit): 0.0

Cell lengths 5.317, 7.033, 9.772 Å; angles 108.36, 105.79, 90.00 degrees
Positions (direct):
Nd 0.406 0.521 0.811
Nd 0.677 0.006 0.354
Nd 0.800 0.657 0.601
Nd 0.971 0.223 0.942
Nd 0.200 0.343 0.399
Nd 0.323 0.994 0.646
Nd 0.594 0.479 0.189
Nd 0.029 0.777 0.058
Hg 0.500 0.000 0.000
Pd 0.828 0.268 0.657
Pd 0.172 0.732 0.343

## B
First-principles (GGA-PBE) data for an optimized crystal structure of Nd8HgPd2, as listed in Alexandria via LeMat-Bulk.

Summary:
ρ (g/cm3): 7.685
Magnetization (μB per formula unit): 0.0

Cell lengths 5.741, 8.268, 8.268 Å; angles 115.55, 98.95, 98.95 degrees
Positions (direct):
Nd 0.579 0.334 0.089
Nd 0.579 0.089 0.334
Nd 0.188 0.393 0.393
Nd 0.000 0.241 0.766
Nd 0.000 0.766 0.241
Nd 0.812 0.613 0.613
Nd 0.422 0.917 0.672
Nd 0.422 0.672 0.917
Hg 0.998 0.003 0.003
Pd 0.500 0.703 0.302
Pd 0.500 0.302 0.703

Of them, A has the highest stability.

## A
First-principles (GGA-PBE) data for an optimized crystal structure of NdHgPd6, as listed in Alexandria via LeMat-Bulk.

Summary:
ρ (g/cm3): 11.235
Magnetization (μB per formula unit): 0.0

Cell lengths 5.258, 5.258, 5.258 Å; angles 90.00, 90.00, 90.00 degrees
Positions (direct):
Nd 0.500 0.500 0.500
Hg 0.000 0.000 0.000
Pd 0.500 0.754 0.000
Pd 0.754 0.000 0.500
Pd 0.000 0.500 0.246
Pd 0.246 0.000 0.500
Pd 0.500 0.246 0.000
Pd 0.000 0.500 0.754

## B
First-principles (GGA-PBE) data for an optimized crystal structure of NdHgPd6, as listed in Alexandria via LeMat-Bulk.

Summary:
ρ (g/cm3): 11.584
Magnetization (μB per formula unit): 0.0

Cell lengths 4.190, 5.800, 5.800 Å; angles 90.04, 90.00, 90.00 degrees
Positions (direct):
Nd 0.500 0.500 0.500
Hg 0.500 0.000 0.000
Pd 0.000 0.756 0.244
Pd 0.000 0.244 0.756
Pd 0.000 0.756 0.756
Pd 0.000 0.244 0.244
Pd 0.500 0.500 0.000
Pd 0.500 0.000 0.500

Of them, B has the highest stability.

## A
First-principles (GGA-PBE) data for an optimized crystal structure of Nd3HgPd, as listed in Alexandria via LeMat-Bulk.

Summary:
ρ (g/cm3): 8.287
Magnetization (μB per formula unit): 0.0

Cell lengths 7.764, 8.449, 9.651 Å; angles 110.53, 90.00, 90.00 degrees
Positions (direct):
Nd 0.158 0.611 0.811
Nd 0.842 0.389 0.189
Nd 0.658 0.889 0.189
Nd 0.342 0.111 0.811
Nd 0.679 0.482 0.859
Nd 0.321 0.518 0.141
Nd 0.179 0.018 0.141
Nd 0.821 0.982 0.859
Nd 0.016 0.215 0.574
Nd 0.984 0.785 0.426
Nd 0.516 0.285 0.426
Nd 0.484 0.715 0.574
Hg 0.832 0.557 0.585
Hg 0.168 0.443 0.415
Hg 0.332 0.943 0.415
Hg 0.668 0.057 0.585
Pd 0.038 0.319 0.914
Pd 0.962 0.681 0.086
Pd 0.538 0.181 0.086
Pd 0.462 0.819 0.914

## B
First-principles (GGA-PBE) data for an optimized crystal structure of Nd3HgPd, as listed in Alexandria via LeMat-Bulk.

Summary:
ρ (g/cm3): 7.892
Magnetization (μB per formula unit): 0.0

Cell lengths 4.021, 9.162, 9.164 Å; angles 67.23, 90.00, 90.00 degrees
Positions (direct):
Nd 0.864 0.384 0.825
Nd 0.864 0.004 0.667
Nd 0.863 0.615 0.057
Nd 0.363 0.029 0.081
Nd 0.863 0.773 0.436
Nd 0.363 0.360 0.412
Hg 0.363 0.694 0.746
Hg 0.863 0.194 0.247
Pd 0.363 0.694 0.246
Pd 0.364 0.194 0.746

Of them, A has the highest stability.

## A
First-principles (GGA-PBE) data for an optimized crystal structure of Nd3Hg3Pd2, as listed in Alexandria via LeMat-Bulk.

Summary:
ρ (g/cm3): 10.339
Magnetization (μB per formula unit): 0.0

Cell lengths 3.873, 7.729, 7.729 Å; angles 120.00, 90.00, 90.00 degrees
Positions (direct):
Nd 0.500 0.407 0.407
Nd 0.500 0.593 0.000
Nd 0.500 0.000 0.593
Hg 0.000 0.762 0.762
Hg 0.000 0.238 0.000
Hg 0.000 0.000 0.238
Pd 0.000 0.333 0.667
Pd 0.000 0.667 0.333

## B
First-principles (GGA-PBE) data for an optimized crystal structure of Nd3Hg3Pd2, as listed in Alexandria via LeMat-Bulk.

Summary:
ρ (g/cm3): 10.239
Magnetization (μB per formula unit): 0.0

Cell lengths 4.307, 5.286, 9.293 Å; angles 100.32, 103.40, 90.00 degrees
Positions (direct):
Nd 0.159 0.600 0.317
Nd 0.841 0.400 0.683
Nd 0.000 0.000 0.000
Hg 0.631 0.088 0.261
Hg 0.500 0.500 0.000
Hg 0.369 0.912 0.739
Pd 0.234 0.155 0.468
Pd 0.766 0.845 0.532

Of them, A has the highest stability.